(one)
Here is a relaxed structure of Cr3IrF from the Alexandria database. Energies are from GGA+U.

Structure (CIF):
```
data_Cr3IrF
_cell_length_a 4.9623
_cell_length_b 4.9623
_cell_length_c 4.9623
_cell_angle_alpha 90.00
_cell_angle_beta 90.00
_cell_angle_gamma 90.00
_symmetry_space_group_name_H-M 'P m -3 m'
_symmetry_Int_Tables_number 221
_symmetry_space_group_name_Hall '-P 4 2 3'
loop_
_atom_site_label
_atom_site_type_symbol
_atom_site_fract_x
_atom_site_fract_y
_atom_site_fract_z
Cr1 Cr 0.0000 0.0000 0.5000
Ir1 Ir 0.0000 0.0000 0.0000
F1 F 0.5000 0.5000 0.5000
```

M_tot ... 2.664 μB/atom

---

(two)
Here is a relaxed structure of Cr3IrF from the Alexandria database. Energies are from GGA+U.

Structure (CIF):
```
data_Cr3IrF
_cell_length_a 4.2893
_cell_length_b 4.2893
_cell_length_c 4.2893
_cell_angle_alpha 90.00
_cell_angle_beta 90.00
_cell_angle_gamma 90.00
_symmetry_space_group_name_H-M 'P m -3 m'
_symmetry_Int_Tables_number 221
_symmetry_space_group_name_Hall '-P 4 2 3'
loop_
_atom_site_label
_atom_site_type_symbol
_atom_site_fract_x
_atom_site_fract_y
_atom_site_fract_z
Cr1 Cr 0.0000 0.0000 0.5000
Ir1 Ir 0.5000 0.5000 0.5000
F1 F 0.0000 0.0000 0.0000
```

M_tot ... 2.526 μB/atom

---

Most stable: (two). Least stable: (one).

---

(one)
Here is a relaxed structure of CrIrN2F from the Alexandria database. Energies are from GGA+U.

Structure (CIF):
```
data_CrIrN2F
_cell_length_a 3.9138
_cell_length_b 3.9138
_cell_length_c 3.6476
_cell_angle_alpha 90.00
_cell_angle_beta 90.00
_cell_angle_gamma 90.00
_symmetry_space_group_name_H-M 'P 4/m m m'
_symmetry_Int_Tables_number 123
_symmetry_space_group_name_Hall '-P 4 2'
loop_
_atom_site_label
_atom_site_type_symbol
_atom_site_fract_x
_atom_site_fract_y
_atom_site_fract_z
Cr1 Cr 0.0000 0.0000 0.0000
Ir1 Ir 0.5000 0.5000 0.5000
N1 N 0.0000 0.5000 0.0000
F1 F 0.0000 0.0000 0.5000
```

M_tot ... 0.483 μB/atom

---

(two)
Here is a relaxed structure of CrIrN2F from the Alexandria database. Energies are from GGA+U.

Structure (CIF):
```
data_CrIrN2F
_cell_length_a 3.7690
_cell_length_b 3.7690
_cell_length_c 4.8280
_cell_angle_alpha 90.00
_cell_angle_beta 90.00
_cell_angle_gamma 90.00
_symmetry_space_group_name_H-M 'P 4/m m m'
_symmetry_Int_Tables_number 123
_symmetry_space_group_name_Hall '-P 4 2'
loop_
_atom_site_label
_atom_site_type_symbol
_atom_site_fract_x
_atom_site_fract_y
_atom_site_fract_z
Cr1 Cr 0.0000 0.0000 0.0000
Ir1 Ir 0.5000 0.5000 0.5000
N1 N 0.0000 0.5000 0.5000
F1 F 0.5000 0.5000 0.0000
```

M_tot ... 0.849 μB/atom

---

Most stable: (two). Least stable: (one).

---

(one)
Here is a relaxed structure of CrIrOF2 from the Alexandria database. Energies are from GGA+U.

Structure (CIF):
```
data_CrIrOF2
_cell_length_a 4.4628
_cell_length_b 4.4628
_cell_length_c 3.7207
_cell_angle_alpha 90.00
_cell_angle_beta 90.00
_cell_angle_gamma 90.00
_symmetry_space_group_name_H-M 'P 4/m m m'
_symmetry_Int_Tables_number 123
_symmetry_space_group_name_Hall '-P 4 2'
loop_
_atom_site_label
_atom_site_type_symbol
_atom_site_fract_x
_atom_site_fract_y
_atom_site_fract_z
Cr1 Cr 0.0000 0.0000 0.0000
Ir1 Ir 0.5000 0.5000 0.5000
O1 O 0.5000 0.5000 0.0000
F1 F 0.0000 0.5000 0.5000
```

M_tot ... 0.983 μB/atom

---

(two)
Here is a relaxed structure of CrIrOF2 from the Alexandria database. Energies are from GGA+U.

Structure (CIF):
```
data_CrIrOF2
_cell_length_a 3.8833
_cell_length_b 3.8833
_cell_length_c 4.2036
_cell_angle_alpha 90.00
_cell_angle_beta 90.00
_cell_angle_gamma 90.00
_symmetry_space_group_name_H-M 'P 4/m m m'
_symmetry_Int_Tables_number 123
_symmetry_space_group_name_Hall '-P 4 2'
loop_
_atom_site_label
_atom_site_type_symbol
_atom_site_fract_x
_atom_site_fract_y
_atom_site_fract_z
Cr1 Cr 0.0000 0.0000 0.0000
Ir1 Ir 0.5000 0.5000 0.5000
O1 O 0.0000 0.0000 0.5000
F1 F 0.0000 0.5000 0.0000
```

M_tot ... 0.178 μB/atom

---

Most stable: (one). Least stable: (two).

---

(one)
Here is a relaxed structure of KCrF from the Alexandria database. Energies are from GGA+U.

Structure (CIF):
```
data_KCrF
_cell_length_a 3.8252
_cell_length_b 3.8378
_cell_length_c 8.8896
_cell_angle_alpha 90.00
_cell_angle_beta 90.02
_cell_angle_gamma 90.00
_symmetry_space_group_name_H-M 'P 1 21/m 1'
_symmetry_Int_Tables_number 11
_symmetry_space_group_name_Hall '-P 2yb'
loop_
_atom_site_label
_atom_site_type_symbol
_atom_site_fract_x
_atom_site_fract_y
_atom_site_fract_z
K1 K 0.2493 0.2500 0.1538
Cr1 Cr 0.2502 0.2500 0.5800
F1 F 0.2512 0.2500 0.8469
```

M_tot ... 1.692 μB/atom

---

(two)
Here is a relaxed structure of KCrF from the Alexandria database. Energies are from GGA+U.

Structure (CIF):
```
data_KCrF
_cell_length_a 3.3967
_cell_length_b 3.5542
_cell_length_c 11.2852
_cell_angle_alpha 89.49
_cell_angle_beta 81.38
_cell_angle_gamma 89.99
_symmetry_space_group_name_H-M 'P 1'
_symmetry_Int_Tables_number 1
_symmetry_space_group_name_Hall 'P 1'
loop_
_atom_site_label
_atom_site_type_symbol
_atom_site_fract_x
_atom_site_fract_y
_atom_site_fract_z
K1 K 0.0000 0.0000 0.0000
K2 K 0.1452 0.5034 0.7089
Cr1 Cr 0.3682 0.4953 0.2684
Cr2 Cr 0.7860 0.9915 0.4337
F1 F 0.4597 0.4979 0.0811
F2 F 0.5984 0.0016 0.8025
```

M_tot ... 1.621 μB/atom

---

(three)
Here is a relaxed structure of KCrF from the Alexandria database. Energies are from GGA+U.

Structure (CIF):
```
data_KCrF
_cell_length_a 3.4296
_cell_length_b 3.4305
_cell_length_c 6.3702
_cell_angle_alpha 90.00
_cell_angle_beta 90.14
_cell_angle_gamma 90.00
_symmetry_space_group_name_H-M 'P 1 m 1'
_symmetry_Int_Tables_number 6
_symmetry_space_group_name_Hall 'P -2y'
loop_
_atom_site_label
_atom_site_type_symbol
_atom_site_fract_x
_atom_site_fract_y
_atom_site_fract_z
K1 K 0.0000 0.0000 0.0000
Cr1 Cr 0.4955 0.5000 0.5124
F1 F 0.4993 0.5000 0.8546
```

M_tot ... 1.715 μB/atom

---

Most stable: (one). Least stable: (three).

---

(one)
Here is a relaxed structure of KCr2F6 from the Alexandria database. Energies are from GGA+U.

Structure (CIF):
```
data_KCr2F6
_cell_length_a 5.5118
_cell_length_b 5.5118
_cell_length_c 5.6213
_cell_angle_alpha 90.00
_cell_angle_beta 90.00
_cell_angle_gamma 120.00
_symmetry_space_group_name_H-M 'P -3 1 m'
_symmetry_Int_Tables_number 162
_symmetry_space_group_name_Hall '-P 3 2'
loop_
_atom_site_label
_atom_site_type_symbol
_atom_site_fract_x
_atom_site_fract_y
_atom_site_fract_z
K1 K 0.0000 0.0000 0.0000
Cr1 Cr 0.3333 0.6667 0.5000
F1 F 0.0000 0.3745 0.6906
```

M_tot ... 0.778 μB/atom

---

(two)
Here is a relaxed structure of KCr2F6 from the Alexandria database. Energies are from GGA+U.

Structure (CIF):
```
data_KCr2F6
_cell_length_a 10.0849
_cell_length_b 4.2222
_cell_length_c 7.9515
_cell_angle_alpha 90.00
_cell_angle_beta 115.80
_cell_angle_gamma 90.00
_symmetry_space_group_name_H-M 'C 1 2/m 1'
_symmetry_Int_Tables_number 12
_symmetry_space_group_name_Hall '-C 2y'
loop_
_atom_site_label
_atom_site_type_symbol
_atom_site_fract_x
_atom_site_fract_y
_atom_site_fract_z
K1 K 0.0000 0.0000 0.0000
Cr1 Cr 0.1707 0.0000 0.5807
F1 F 0.0113 0.0000 0.6662
F2 F 0.1720 0.5000 0.1745
F3 F 0.1920 0.5000 0.5515
```

M_tot ... 0.778 μB/atom

---

Most stable: (two). Least stable: (one).

---

(one)
Here is a relaxed structure of KCr3F from the Alexandria database. Energies are from GGA+U.

Structure (CIF):
```
data_KCr3F
_cell_length_a 5.9453
_cell_length_b 5.9453
_cell_length_c 5.9453
_cell_angle_alpha 90.00
_cell_angle_beta 90.00
_cell_angle_gamma 90.00
_symmetry_space_group_name_H-M 'P m -3 m'
_symmetry_Int_Tables_number 221
_symmetry_space_group_name_Hall '-P 4 2 3'
loop_
_atom_site_label
_atom_site_type_symbol
_atom_site_fract_x
_atom_site_fract_y
_atom_site_fract_z
K1 K 0.0000 0.0000 0.0000
Cr1 Cr 0.0000 0.0000 0.5000
F1 F 0.5000 0.5000 0.5000
```

M_tot ... 3.200 μB/atom

---

(two)
Here is a relaxed structure of KCr3F from the Alexandria database. Energies are from GGA+U.

Structure (CIF):
```
data_KCr3F
_cell_length_a 4.9712
_cell_length_b 4.9712
_cell_length_c 4.9712
_cell_angle_alpha 90.00
_cell_angle_beta 90.00
_cell_angle_gamma 90.00
_symmetry_space_group_name_H-M 'P m -3 m'
_symmetry_Int_Tables_number 221
_symmetry_space_group_name_Hall '-P 4 2 3'
loop_
_atom_site_label
_atom_site_type_symbol
_atom_site_fract_x
_atom_site_fract_y
_atom_site_fract_z
K1 K 0.0000 0.0000 0.0000
Cr1 Cr 0.0000 0.5000 0.5000
F1 F 0.5000 0.5000 0.5000
```

M_tot ... 3.041 μB/atom

---

Most stable: (two). Least stable: (one).